La3ZnRe at its PBEsol-relaxed geometry. Source: the Alexandria database, functional SCAN.

a = 5.3956 Å, b = 5.3956 Å, c = 5.3956 Å
α = 90.00°, β = 90.00°, γ = 90.00°
Last column: nearest neighbours and their distance in Å.
Space group Pm-3m (No. 221)
Asymmetric unit:
La (0.0000, 0.0000, 0.5000)  2 Zn 2.70
Zn (0.0000, 0.0000, 0.0000)  6 La 2.70
Re (0.5000, 0.5000, 0.5000)  12 La 3.82

Results
DOS(E_F): 8.0 states/eV/cell
VASP energy: -41.693 eV/atom
crystal system: cubic
size of the total moment: 0.10 μB per atom

***

LaZr2Re at its PBEsol-relaxed geometry. Source: the Alexandria database, functional SCAN.

a = 5.9537 Å, b = 9.5181 Å, c = 3.0466 Å
α = 90.00°, β = 108.50°, γ = 90.00°
Last column: nearest neighbours and their distance in Å.
Space group C2/m (No. 12)
Asymmetric unit:
La (0.0000, 0.0000, 0.0000)  4 Zr 2.96, 2 Re 2.98, 2 La 3.05
Zr (0.2500, 0.2500, 0.5000)  2 La 2.96, 2 Re 2.96, 4 Zr 2.98-3.05
Re (0.0000, 0.5000, 0.0000)  4 Zr 2.96, 2 La 2.98, 2 Re 3.05

Results
DOS(E_F): 8.7 states/eV/cell
VASP energy: -43.535 eV/atom
crystal system: monoclinic
size of the total moment: 0.00 μB per atom

***

LaZrRe2 at its PBEsol-relaxed geometry. Source: the Alexandria database, functional SCAN.

a = 3.2234 Å, b = 4.8922 Å, c = 9.3032 Å
α = 90.00°, β = 90.00°, γ = 90.00°
Last column: nearest neighbours and their distance in Å.
Space group Immm (No. 71)
Asymmetric unit:
La (0.0000, 0.0000, 0.0000)  4 Re 2.83, 4 Zr 2.93
Zr (0.0000, 0.0000, 0.5000)  4 Re 2.83, 4 La 2.93
Re (0.0000, 0.5000, 0.2498)  2 Zr 2.83, 2 La 2.83, 4 Re 2.93

Results
DOS(E_F): 6.1 states/eV/cell
polymorph energy (0 for the lowest one): 211 meV per atom
VASP energy: -53.533 eV/atom
crystal system: orthorhombic
size of the total moment: 0.00 μB per atom

***

LaZrRe2 at its PBEsol-relaxed geometry. Source: the Alexandria database, functional SCAN.

a = 6.6445 Å, b = 6.6445 Å, c = 6.6445 Å
α = 90.00°, β = 90.00°, γ = 90.00°
Last column: nearest neighbours and their distance in Å.
Space group F-43m (No. 216)
Asymmetric unit:
La (0.0000, 0.0000, 0.0000)  4 Zr 2.88, 4 Re 2.88
Zr (0.2500, 0.2500, 0.7500)  4 La 2.88, 4 Re 2.88
Re (0.0000, 0.0000, 0.5000)  4 Zr 2.88, 4 Re 2.88
Re (0.2500, 0.2500, 0.2500)  4 La 2.88, 4 Re 2.88

Results
DOS(E_F): 15.6 states/eV/cell
polymorph energy (0 for the lowest one): 85 meV per atom
VASP energy: -53.659 eV/atom
crystal system: cubic
size of the total moment: 0.00 μB per atom

***

LaZrRe2 at its PBEsol-relaxed geometry. Source: the Alexandria database, functional SCAN.

a = 3.2554 Å, b = 4.8090 Å, c = 9.8642 Å
α = 90.00°, β = 90.00°, γ = 90.00°
Last column: nearest neighbours and their distance in Å.
Space group Cmm2 (No. 35)
Asymmetric unit:
La (0.0000, 0.0000, 0.0000)  4 La 2.90, 2 Re 2.98
Zr (0.0000, 0.5000, 0.3217)  2 Re 2.73, 4 Zr 2.90
Re (0.0000, 0.0000, 0.5441)  2 Re 2.58, 2 Zr 2.73
Re (0.0000, 0.5000, 0.7465)  2 Re 2.58

Results
DOS(E_F): 7.0 states/eV/cell
polymorph energy (0 for the lowest one): 156 meV per atom
VASP energy: -53.588 eV/atom
crystal system: orthorhombic
size of the total moment: 0.00 μB per atom

***

LaZrRe2 at its PBEsol-relaxed geometry. Source: the Alexandria database, functional SCAN.

a = 8.7020 Å, b = 3.0917 Å, c = 6.1294 Å
α = 90.00°, β = 93.25°, γ = 90.00°
Last column: nearest neighbours and their distance in Å.
Space group C2/m (No. 12)
Asymmetric unit:
La (0.0000, 0.0000, 0.0000)  2 Re 2.90, 2 La 3.09
Zr (0.0000, 0.5000, 0.5000)  6 Re 2.61-2.77
Re (0.2370, 0.0000, 0.6864)  3 Zr 2.61-2.77, 2 Re 2.78, 1 La 2.90

Results
DOS(E_F): 8.0 states/eV/cell
polymorph energy (0 for the lowest one): 241 meV per atom
VASP energy: -53.503 eV/atom
crystal system: monoclinic
size of the total moment: 0.00 μB per atom

***

LaZrRe2 at its PBEsol-relaxed geometry. Source: the Alexandria database, functional SCAN.

a = 3.0049 Å, b = 4.1224 Å, c = 6.7757 Å
α = 90.00°, β = 99.22°, γ = 90.00°
Last column: nearest neighbours and their distance in Å.
Space group Pm (No. 6)
Asymmetric unit:
La (0.0000, 0.0000, 0.0000)  2 La 3.00, 5 Re 3.01-3.35
Zr (0.3349, 0.5000, 0.6525)  3 Re 2.62-2.78
Re (0.4926, 0.5000, 0.2834)  2 Re 2.49, 1 Zr 2.62
Re (0.8744, 0.0000, 0.4320)  2 Re 2.49, 2 Zr 2.78

Results
DOS(E_F): 3.7 states/eV/cell
polymorph energy (0 for the lowest one): 0 meV per atom
VASP energy: -53.744 eV/atom
crystal system: monoclinic
size of the total moment: 0.00 μB per atom

***

La5Rh3 at its PBEsol-relaxed geometry. Source: the Alexandria database, functional SCAN.

a = 8.2795 Å, b = 8.2795 Å, c = 6.8898 Å
α = 90.00°, β = 90.00°, γ = 120.00°
Last column: nearest neighbours and their distance in Å.
Space group P6_3/mcm (No. 193)
Asymmetric unit:
La (0.0000, 0.2519, 0.2500)  3 Rh 2.80-3.01
La (0.3333, 0.6667, 0.0000)  6 Rh 3.10, 2 La 3.44
Rh (0.0000, 0.3840, 0.7500)  7 La 2.80-3.10

Results
DOS(E_F): 12.5 states/eV/cell
polymorph energy (0 for the lowest one): 0 meV per atom
VASP energy: -40.301 eV/atom
crystal system: hexagonal
size of the total moment: 0.00 μB per atom

***

La4Rh at its PBEsol-relaxed geometry. Source: the Alexandria database, functional SCAN.

a = 3.6687 Å, b = 6.5397 Å, c = 6.5449 Å
α = 85.48°, β = 73.77°, γ = 73.79°
Last column: nearest neighbours and their distance in Å.
Space group P-1 (No. 2)
Asymmetric unit:
La (0.0782, 0.1847, 0.1590)  2 Rh 3.05
La (0.2626, 0.6590, 0.3156)  2 Rh 3.05
Rh (0.5000, 0.0000, 0.5000)  8 La 3.05

Results
DOS(E_F): 5.2 states/eV/cell
VASP energy: -41.544 eV/atom
crystal system: triclinic
size of the total moment: 0.00 μB per atom

***

La2Rh at its PBEsol-relaxed geometry. Source: the Alexandria database, functional SCAN.

a = 6.6401 Å, b = 6.7376 Å, c = 4.1851 Å
α = 90.00°, β = 90.00°, γ = 90.00°
Last column: nearest neighbours and their distance in Å.
Space group Pnnm (No. 58)
Asymmetric unit:
La (0.2326, 0.1659, 0.0000)  3 Rh 2.83-2.87
Rh (0.0000, 0.0000, 0.5000)  6 La 2.83-2.87

Results
DOS(E_F): 5.0 states/eV/cell
VASP energy: -40.638 eV/atom
crystal system: orthorhombic
size of the total moment: 0.00 μB per atom

***

La2Rh at its PBEsol-relaxed geometry. Source: the Alexandria database, functional SCAN.

a = 3.9174 Å, b = 12.2370 Å, c = 6.8678 Å
α = 90.00°, β = 90.00°, γ = 90.00°
Last column: nearest neighbours and their distance in Å.
Space group Cmc2_1 (No. 36)
Asymmetric unit:
La (0.0000, 0.0001, 0.0000)  4 Rh 2.99-3.00
La (0.0000, 0.2800, 0.2489)  2 Rh 2.76
Rh (0.0000, 0.3794, 0.7518)  6 La 2.76-3.00

Results
DOS(E_F): 10.2 states/eV/cell
VASP energy: -40.628 eV/atom
crystal system: orthorhombic
size of the total moment: 0.00 μB per atom

***

La4Rh3 at its PBEsol-relaxed geometry. Source: the Alexandria database, functional SCAN.

a = 8.8259 Å, b = 8.8259 Å, c = 8.8259 Å
α = 90.00°, β = 90.00°, γ = 90.00°
Last column: nearest neighbours and their distance in Å.
Space group I-43d (No. 220)
Asymmetric unit:
La (0.0576, 0.0576, 0.0576)  3 Rh 2.83
Rh (0.0000, 0.2500, 0.3750)  4 La 2.83

Results
DOS(E_F): 17.2 states/eV/cell
VASP energy: -39.890 eV/atom
crystal system: cubic
size of the total moment: 0.00 μB per atom

***

La2Rh at its PBEsol-relaxed geometry. Source: the Alexandria database, functional SCAN.

a = 7.5075 Å, b = 7.5075 Å, c = 4.8756 Å
α = 90.00°, β = 90.00°, γ = 120.00°
Last column: nearest neighbours and their distance in Å.
Space group P-62m (No. 189)
Asymmetric unit:
La (0.0000, 0.3961, 0.0000)  1 Rh 2.97
La (0.0000, 0.7264, 0.5000)  2 Rh 2.75
Rh (0.0000, 0.0000, 0.0000)  9 La 2.97-3.19
Rh (0.3333, 0.6667, 0.5000)  3 La 2.75

Results
DOS(E_F): 8.6 states/eV/cell
VASP energy: -40.588 eV/atom
crystal system: hexagonal
size of the total moment: 0.00 μB per atom

***

La2Rh at its PBEsol-relaxed geometry. Source: the Alexandria database, functional SCAN.

a = 13.6913 Å, b = 13.6913 Å, c = 13.6913 Å
α = 90.00°, β = 90.00°, γ = 90.00°
Last column: nearest neighbours and their distance in Å.
Space group Fd-3m (No. 227, origin choice 2)
Asymmetric unit:
La (0.0000, 0.0000, 0.0000)  6 Rh 3.22, 6 La 3.52
La (0.0638, 0.3750, 0.8750)  2 Rh 2.80
Rh (0.0158, 0.0158, 0.2342)  3 La 2.80

Results
DOS(E_F): 76.2 states/eV/cell
VASP energy: -40.545 eV/atom
crystal system: cubic
size of the total moment: 0.00 μB per atom

***

La2Rh at its PBEsol-relaxed geometry. Source: the Alexandria database, functional SCAN.

a = 4.1081 Å, b = 4.1081 Å, c = 6.4722 Å
α = 90.00°, β = 90.00°, γ = 120.00°
Last column: nearest neighbours and their distance in Å.
Space group P-3m1 (No. 164)
Asymmetric unit:
La (0.3333, 0.6667, 0.2635)  3 Rh 2.82
Rh (0.0000, 0.0000, 0.5000)  6 La 2.82

Results
DOS(E_F): 3.0 states/eV/cell
VASP energy: -40.619 eV/atom
crystal system: trigonal
size of the total moment: 0.09 μB per atom

***

La2Rh at its PBEsol-relaxed geometry. Source: the Alexandria database, functional SCAN.

a = 7.0330 Å, b = 7.0330 Å, c = 7.0330 Å
α = 90.00°, β = 90.00°, γ = 90.00°
Last column: nearest neighbours and their distance in Å.
Space group Pa-3 (No. 205)
Asymmetric unit:
La (0.1719, 0.1719, 0.1719)  3 Rh 2.87
Rh (0.0000, 0.0000, 0.5000)  6 La 2.87

Results
DOS(E_F): 12.3 states/eV/cell
VASP energy: -40.639 eV/atom
crystal system: cubic
size of the total moment: 0.00 μB per atom

***

La2Rh7 at its PBEsol-relaxed geometry. Source: the Alexandria database, functional SCAN.

a = 5.2558 Å, b = 5.2558 Å, c = 39.0989 Å
α = 90.00°, β = 90.00°, γ = 120.00°
Last column: nearest neighbours and their distance in Å.
Space group R-3m (No. 166, hexagonal axes)
Asymmetric unit:
La (0.0000, 0.0000, 0.0508)  12 Rh 3.04-3.29
La (0.0000, 0.0000, 0.1473)  12 Rh 3.02-3.36
Rh (0.0000, 0.0000, 0.2782)  6 Rh 2.60-2.64
Rh (0.0000, 0.0000, 0.3885)  6 Rh 2.60-2.64
Rh (0.0000, 0.0000, 0.5000)  6 Rh 2.71
Rh (0.0000, 0.5000, 0.0000)  8 Rh 2.63-2.64
Rh (0.9999, 0.5000, 0.1092)  7 Rh 2.60-2.71

Results
DOS(E_F): 52.6 states/eV/cell
VASP energy: -36.349 eV/atom
crystal system: trigonal
size of the total moment: 0.00 μB per atom

***

La2Rh at its PBEsol-relaxed geometry. Source: the Alexandria database, functional SCAN.

a = 6.9628 Å, b = 6.9628 Å, c = 6.9628 Å
α = 90.00°, β = 90.00°, γ = 90.00°
Last column: nearest neighbours and their distance in Å.
Space group Fm-3m (No. 225)
Asymmetric unit:
La (0.2500, 0.2500, 0.2500)  4 Rh 3.01
Rh (0.0000, 0.0000, 0.0000)  8 La 3.01

Results
DOS(E_F): 8.3 states/eV/cell
VASP energy: -40.590 eV/atom
crystal system: cubic
size of the total moment: 0.00 μB per atom

***

La2Rh3 at its PBEsol-relaxed geometry. Source: the Alexandria database, functional SCAN.

a = 9.5160 Å, b = 16.0138 Å, c = 5.3896 Å
α = 90.00°, β = 90.00°, γ = 90.00°
Last column: nearest neighbours and their distance in Å.
Space group Fdd2 (No. 43)
Asymmetric unit:
La (0.0807, 0.2969, 0.0000)  8 Rh 2.93-3.24
Rh (0.0000, 0.0000, 0.2848)  4 Rh 2.58-2.62
Rh (0.0762, 0.3764, 0.5094)  4 Rh 2.58-2.73

Results
DOS(E_F): 37.6 states/eV/cell
VASP energy: -38.204 eV/atom
crystal system: orthorhombic
size of the total moment: 0.00 μB per atom

***

La5Rh3 at its PBEsol-relaxed geometry. Source: the Alexandria database, functional SCAN.

a = 11.2175 Å, b = 11.2175 Å, c = 6.2335 Å
α = 90.00°, β = 90.00°, γ = 90.00°
Last column: nearest neighbours and their distance in Å.
Space group I4/mcm (No. 140)
Asymmetric unit:
La (0.0000, 0.5000, 0.2500)  4 Rh 2.93, 2 La 3.12
La (0.0875, 0.2109, 0.0000)  4 Rh 2.94-3.11, 1 La 3.20
Rh (0.0000, 0.0000, 0.2500)  8 La 3.00, 2 Rh 3.12
Rh (0.1563, 0.3437, 0.5000)  6 La 2.93-3.11

Results
DOS(E_F): 26.7 states/eV/cell
polymorph energy (0 for the lowest one): 54 meV per atom
VASP energy: -40.247 eV/atom
crystal system: tetragonal
size of the total moment: 0.00 μB per atom